Entry 1:
Material: SnHg2Pb5
Method: DFT, GGA-PBE
State: optimized geometry

## Properties
Fermi-level density of states   4.15 states/eV per cell
Energy of formation from the pure elements   0.044 eV per atom

a = 6.771 Å, b = 6.771 Å, c = 6.771 Å
α = 106.27°, β = 106.27°, γ = 116.09°
Fractional positions:
Pb: 0.778 0.278 0.000
Pb: 0.278 0.277 0.000
Pb: 0.778 0.778 0.500
Pb: 0.278 0.778 0.000
Pb: 0.278 0.278 0.500
Hg: 0.778 0.278 0.500
Hg: 0.278 0.778 0.500
Sn: 0.778 0.778 0.000

***

Entry 2:
Material: Sc5InRh4
Method: DFT, GGA-PBE
State: optimized geometry

## Properties
Fermi-level density of states   4.47 states/eV per cell
Energy of formation from the pure elements   -0.896 eV per atom

a = 3.271 Å, b = 3.271 Å, c = 16.776 Å
α = 90.00°, β = 90.00°, γ = 90.00°
Fractional positions:
Sc: 0.500 0.500 0.879
Sc: 0.500 0.500 0.500
Sc: 0.500 0.500 0.121
Sc: 0.500 0.500 0.310
Sc: 0.500 0.500 0.690
Rh: 0.000 0.000 0.213
Rh: 0.000 0.000 0.405
Rh: 0.000 0.000 0.787
Rh: 0.000 0.000 0.595
In: 0.000 0.000 0.000

***

Entry 3:
Material: ScBe3Ge
Method: DFT, GGA-PBE
State: optimized geometry

## Properties
Fermi-level density of states   5.52 states/eV per cell
Energy of formation from the pure elements   1.787 eV per atom

a = 4.729 Å, b = 4.729 Å, c = 4.729 Å
α = 90.00°, β = 90.00°, γ = 90.00°
Fractional positions:
Be: 0.000 0.000 0.500
Be: 0.000 0.500 0.000
Be: 0.500 0.000 0.000
Ge: 0.500 0.500 0.500
Sc: 0.000 0.000 0.000

***

Entry 4:
Material: TbThGaPt
Method: DFT, GGA-PBE
State: optimized geometry

## Properties
Fermi-level density of states   3.83 states/eV per cell
Energy of formation from the pure elements   -0.867 eV per atom

a = 4.050 Å, b = 4.479 Å, c = 5.721 Å
α = 90.00°, β = 110.73°, γ = 90.00°
Fractional positions:
Pt: 0.580 0.500 0.160
Tb: 0.139 0.000 0.279
Ga: 0.424 0.000 0.849
Th: 0.856 0.500 0.712

***

Entry 5:
Material: Pm2IrPt
Method: DFT, GGA-PBE
State: optimized geometry

## Properties
Fermi-level density of states   2.14 states/eV per cell
Energy of formation from the pure elements   -0.856 eV per atom

a = 5.024 Å, b = 5.024 Å, c = 5.024 Å
α = 60.00°, β = 60.00°, γ = 60.00°
Fractional positions:
Ir: 0.500 0.500 0.500
Pt: 0.000 0.000 0.000
Pm: 0.750 0.750 0.750
Pm: 0.250 0.250 0.250

***

Entry 6:
Material: PmErPdAu
Method: DFT, GGA-PBE
State: optimized geometry

## Properties
Fermi-level density of states   2.88 states/eV per cell
Energy of formation from the pure elements   -0.823 eV per atom

a = 5.076 Å, b = 5.076 Å, c = 5.076 Å
α = 60.00°, β = 60.00°, γ = 60.00°
Fractional positions:
Pd: 0.500 0.500 0.500
Pm: 0.250 0.250 0.250
Er: 0.750 0.750 0.750
Au: 0.000 0.000 0.000

***

Entry 7:
Material: La2TaAu
Method: DFT, GGA-PBE
State: optimized geometry

## Properties
Fermi-level density of states   3.97 states/eV per cell
Energy of formation from the pure elements   0.312 eV per atom

a = 5.407 Å, b = 5.407 Å, c = 6.059 Å
α = 81.53°, β = 81.53°, γ = 35.97°
Fractional positions:
La: 0.508 0.508 0.495
La: 0.992 0.992 0.005
Au: 0.250 0.250 0.250
Ta: 0.750 0.750 0.750

***

Entry 8:
Material: Y7Sb6
Method: DFT, GGA-PBE
State: optimized geometry

## Properties
E_form (uncorrected)   -0.402 eV/atom
Fermi-level density of states   10.04 states/eV per cell

a = 11.458 Å, b = 11.458 Å, c = 11.458 Å
α = 34.65°, β = 34.65°, γ = 34.65°
Fractional positions:
Sb: 0.333 0.333 0.333
Sb: 0.049 0.049 0.049
Sb: 0.187 0.187 0.187
Sb: 0.667 0.667 0.667
Sb: 0.951 0.951 0.951
Sb: 0.813 0.813 0.813
Y: 0.428 0.931 0.428
Y: 0.572 0.069 0.572
Y: 0.931 0.428 0.428
Y: 0.500 0.500 0.500
Y: 0.069 0.572 0.572
Y: 0.428 0.428 0.931
Y: 0.572 0.572 0.069

***

Entry 9:
Material: Rb2ErAlSe4
Method: DFT, GGA-PBE
State: optimized geometry

## Properties
E_form (uncorrected)   -1.320 eV/atom
Fermi-level density of states   0.00 states/eV per cell

a = 6.952 Å, b = 6.939 Å, c = 6.939 Å
α = 75.47°, β = 59.94°, γ = 59.94°
Fractional positions:
Rb: 0.500 0.500 0.500
Rb: 0.000 0.500 0.500
Se: 0.121 0.319 0.000
Se: 0.879 0.000 0.681
Se: 0.440 0.681 0.000
Se: 0.560 0.000 0.319
Er: 0.000 0.000 0.000
Al: 0.500 0.000 0.000

***

Entry 10:
Material: Tm2SiPd8
Method: DFT, GGA-PBE
State: optimized geometry

## Properties
E_form (uncorrected)   -0.760 eV/atom
Fermi-level density of states   3.62 states/eV per cell

a = 4.608 Å, b = 5.843 Å, c = 7.887 Å
α = 111.75°, β = 106.98°, γ = 90.00°
Fractional positions:
Pd: 0.630 0.875 0.259
Pd: 0.370 0.615 0.740
Pd: 0.815 0.815 0.631
Pd: 0.630 0.385 0.260
Pd: 0.000 0.758 0.000
Pd: 0.370 0.125 0.741
Pd: 0.185 0.185 0.369
Pd: 0.000 0.242 0.000
Si: 0.500 0.000 0.000
Tm: 0.188 0.688 0.376
Tm: 0.812 0.312 0.624

***

Entry 11:
Material: GdIn4Sn
Method: DFT, GGA-PBE
State: optimized geometry

## Properties
Fermi-level density of states   6.00 states/eV per cell
Energy of formation from the pure elements   -0.101 eV per atom

a = 6.098 Å, b = 6.098 Å, c = 6.098 Å
α = 60.00°, β = 60.00°, γ = 60.00°
Fractional positions:
In: 0.625 0.625 0.125
In: 0.625 0.125 0.625
In: 0.125 0.625 0.625
In: 0.625 0.625 0.625
Sn: 0.000 0.000 0.000
Gd: 0.250 0.250 0.250

***

Entry 12:
Material: Mn2PSe
Method: DFT, GGA-PBE
State: optimized geometry

## Properties
E_form (uncorrected)   -0.238 eV/atom
Fermi-level density of states   2.69 states/eV per cell

a = 3.215 Å, b = 3.215 Å, c = 6.142 Å
α = 90.00°, β = 90.00°, γ = 90.00°
Fractional positions:
Mn: 0.500 0.500 0.261
Mn: 0.000 0.000 0.007
P: 0.000 0.000 0.388
Se: 0.500 0.500 0.844

***

Which value of Fermi-level density of states does entry 11 give? 6.00 states/eV per cell